Entry 1:
DFT (PBE-GGA) results for crystalline KCd9Hg2 at its relaxed geometry.

Structure (POSCAR):
```
KCd9Hg2
1.0
5.8979 0.0000 1.7553
2.6878 5.2499 1.7553
0.2119 0.1296 10.0741
K Cd Hg
1 9 2
direct
0.0000 0.0000 0.0000
0.6657 0.6657 0.0029
0.3343 0.3343 0.9971
0.5000 0.5000 0.5000
0.4066 0.4066 0.2650
0.9218 0.4066 0.2650
0.4066 0.9218 0.2650
0.5934 0.5934 0.7350
0.5934 0.0782 0.7350
0.0782 0.5934 0.7350
0.8612 0.8612 0.4163
0.1388 0.1388 0.5837
```

ΔE_f: -0.0046 eV per atom
Total magnetic moment: 0.0 μB per formula unit
Energy above the most stable polymorph in this dataset: 0 meV per atom
Fermi-level density of states: 0.409 states/eV/atom
SG: No. 166



Entry 2:
DFT (PBE-GGA) results for crystalline KCd2Hg2 at its relaxed geometry.

Structure (POSCAR):
```
KCd2Hg2
1.0
-4.8238 1.7294 1.8185
1.3436 -1.5482 5.0364
0.3040 4.8329 4.3400
K Hg Cd
1 2 2
direct
0.0000 0.0000 0.0000
0.7500 0.2500 0.5000
0.2500 0.7500 0.5000
0.3639 0.3639 0.2722
0.6361 0.6361 0.7278
```

ΔE_f: -0.1312 eV per atom
Total magnetic moment: 0.0 μB per formula unit
Energy above the most stable polymorph in this dataset: 19 meV per atom
Fermi-level density of states: 0.453 states/eV/atom
SG: No. 139



Entry 3:
DFT (PBE-GGA) results for crystalline K3CdHg4 at its relaxed geometry.

Structure (POSCAR):
```
K3CdHg4
1.0
0.4208 -3.0959 -4.4787
4.1015 -0.9864 1.0672
-4.1620 -7.9872 8.4593
K Hg Cd
3 4 1
direct
0.0000 0.5000 0.0000
0.8407 0.0001 0.6814
0.1593 0.9999 0.3186
0.5922 0.5023 0.1843
0.4078 0.4977 0.8157
0.2819 0.5022 0.5638
0.7181 0.4978 0.4362
0.5000 0.0000 0.0000
```

ΔE_f: -0.1974 eV per atom
Total magnetic moment: 0.0 μB per formula unit
Energy above the most stable polymorph in this dataset: 0 meV per atom
Fermi-level density of states: 0.647 states/eV/atom
SG: No. 12



Entry 4:
DFT (PBE-GGA) results for crystalline KCd3Hg10 at its relaxed geometry.

Structure (POSCAR):
```
KCd3Hg10
1.0
-3.5807 -6.3435 7.7968
3.1896 -10.1704 0.4913
6.6008 -3.1518 7.7683
K Cd Hg
2 6 20
direct
0.2500 0.2500 0.2500
0.7500 0.7500 0.7500
0.7379 0.7379 0.2621
0.7379 0.2621 0.7379
0.2621 0.7379 0.7379
0.2621 0.2621 0.7379
0.7379 0.2621 0.2621
0.2621 0.7379 0.2621
0.0000 0.0000 0.3509
0.0000 0.3509 0.0000
0.3509 0.0000 0.0000
0.6491 0.3509 0.0000
0.3841 0.3841 0.3841
0.1522 0.6159 0.6159
0.3841 0.8478 0.3841
0.6491 0.0000 0.3509
0.3841 0.3841 0.8478
0.8478 0.3841 0.3841
0.6159 0.6159 0.1522
0.0000 0.0000 0.6491
0.3509 0.6491 0.0000
0.0000 0.6491 0.3509
0.0000 0.3509 0.6491
0.6491 0.0000 0.0000
0.6159 0.6159 0.6159
0.0000 0.6491 0.0000
0.6159 0.1522 0.6159
0.3509 0.0000 0.6491
```

ΔE_f: -0.0233 eV per atom
Total magnetic moment: 0.0 μB per formula unit
Fermi-level density of states: 0.288 states/eV/atom
SG: No. 225